TaB: optimized geometry, PBE-GGA.

The energy above the most stable polymorph in this dataset comes out at 1567 meV/atom. The value obtained for the electronic total energy is -8.5122 eV per atom. The value obtained for the energy relative to the elements is 752.8 meV/atom.

a = 6.149 Å, b = 6.149 Å, c = 6.149 Å
α = 90.00°, β = 90.00°, γ = 90.00°
Space group Pm-3n (No. 223)
Asymmetric unit:
Ta  0.000  0.250  0.500 [6 per cell]
B  0.000  0.500  0.250 [6 per cell]